# 1
This record from Alexandria describes BaCr2RhSe8 after structural relaxation. The functional is PBE.

For the total energy, the calculation gives -62.608 eV/f.u.

Cell: 6.1938 6.1938 9.0165 Å, 90.00 90.00 120.00°
Last column: magnetic moment on the atom in μB.
Element x y z (fractional)
Rh 0.0000 0.0000 0.5000  0.10
Se 0.6797 0.6701 0.6664  -0.04
Se 0.3203 0.3299 0.3336  -0.04
Se 0.9904 0.3203 0.6664  -0.04
Se 0.3333 0.6667 0.9920  -0.05
Se 0.3299 0.0096 0.6664  -0.04
Se 0.6701 0.9904 0.3336  -0.04
Se 0.6667 0.3333 0.0080  -0.05
Se 0.0096 0.6797 0.3336  -0.04
Cr 0.6667 0.3333 0.2548  0.64
Cr 0.3333 0.6667 0.7452  0.64
Ba 0.0000 0.0000 0.0000  0.00

---

# 2
This record from Alexandria describes BaCr2TcRh after structural relaxation. The functional is PBE.

For the total energy, the calculation gives -32.314 eV/f.u. The formation energy is 634 kJ/mol of formula units.

Cell: 4.6189 5.6798 4.6189 Å, 90.00 90.00 90.00°
Last column: magnetic moment on the atom in μB.
Element x y z (fractional)
Tc 0.0000 0.0000 0.0000  -0.76
Cr 0.5000 0.0000 0.0000  3.40
Cr 0.0000 0.0000 0.5000  2.70
Ba 0.0000 0.5000 0.0000  0.01
Rh 0.5000 0.5000 0.5000  -0.20

---

# 3
This record from Alexandria describes Ba2CrRu after structural relaxation. The functional is PBE.

Its offset from the most stable computed form is 588 meV/atom. For the total energy, the calculation gives -19.054 eV/f.u. The formation energy is 356 kJ/mol of formula units.

Cell: 5.3857 5.3857 5.3857 Å, 60.00 60.00 60.00°
Last column: magnetic moment on the atom in μB.
Element x y z (fractional)
Cr 0.5000 0.5000 0.5000  3.90
Ba 0.7500 0.7500 0.7500  0.12
Ba 0.0000 0.0000 0.0000  0.00
Ru 0.2500 0.2500 0.2500  -0.65

---

# 4
This record from Alexandria describes BaCrRu2 after structural relaxation. The functional is PBE.

Its offset from the most stable computed form is 551 meV/atom. For the total energy, the calculation gives -26.252 eV/f.u. The formation energy is 371 kJ/mol of formula units.

Cell: 5.9496 5.9496 5.9496 Å, 150.24 127.44 61.57°
Last column: magnetic moment on the atom in μB.
Element x y z (fractional)
Ba 0.5057 0.5057 0.0000  0.03
Cr 0.2111 0.7111 0.5000  3.40
Ru 0.7905 0.2905 0.5000  -0.90
Ru 0.9927 0.9927 0.0000  -0.56

---

# 5
This record from Alexandria describes Ba2CrRu after structural relaxation. The functional is PBE.

Its offset from the most stable computed form is 535 meV/atom. For the total energy, the calculation gives -19.266 eV/f.u. The formation energy is 336 kJ/mol of formula units.

Cell: 5.5185 5.5185 5.5185 Å, 60.00 60.00 60.00°
Last column: magnetic moment on the atom in μB.
Element x y z (fractional)
Ru 0.5000 0.5000 0.5000  -0.07
Cr 0.0000 0.0000 0.0000  4.04
Ba 0.2500 0.2500 0.2500  0.04
Ba 0.7500 0.7500 0.7500  0.04

---

# 6
This record from Alexandria describes Ba2CrRu after structural relaxation. The functional is PBE.

Its offset from the most stable computed form is 111 meV/atom. For the total energy, the calculation gives -20.962 eV/f.u. The formation energy is 172 kJ/mol of formula units.

Cell: 4.3278 5.0705 6.5738 Å, 67.33 90.00 90.00°
Last column: magnetic moment on the atom in μB.
Element x y z (fractional)
Cr 0.0000 0.6651 0.5456  3.06
Ba 0.0000 0.9813 0.9121  0.07
Ba 0.5000 0.2672 0.3410  0.04
Ru 0.5000 0.5864 0.7013  -0.29

---

# 7
This record from Alexandria describes BaCrRu2 after structural relaxation. The functional is PBE.

Its offset from the most stable computed form is 446 meV/atom. For the total energy, the calculation gives -26.671 eV/f.u. The formation energy is 331 kJ/mol of formula units.

Cell: 5.1617 5.1617 8.4154 Å, 72.14 72.14 90.00°
Element x y z (fractional)
Cr 0.5000 0.5000 0.0000
Cr 0.2500 0.7500 0.5000
Ru 0.3749 0.6250 0.2500
Ru 0.8750 0.6251 0.7500
Ru 0.3751 0.1250 0.2500
Ru 0.3750 0.6249 0.7500
Ba 0.7500 0.2500 0.5000
Ba 0.0000 0.0000 0.0000

---

# 8
This record from Alexandria describes Ba2CrRu after structural relaxation. The functional is PBE.

Its offset from the most stable computed form is 0 meV/atom. For the total energy, the calculation gives -21.405 eV/f.u. The formation energy is 129 kJ/mol of formula units.

Cell: 4.1884 4.1884 9.5934 Å, 77.49 77.49 60.01°
Last column: magnetic moment on the atom in μB.
Element x y z (fractional)
Cr 0.5416 0.5416 0.3744  2.30
Ba 0.9632 0.9632 0.1095  -0.01
Ba 0.7873 0.7873 0.6405  -0.01
Ru 0.2080 0.2080 0.3757  -0.46

---

# 9
This record from Alexandria describes Ba2CrRu after structural relaxation. The functional is PBE.

Its offset from the most stable computed form is 164 meV/atom. For the total energy, the calculation gives -20.750 eV/f.u. The formation energy is 192 kJ/mol of formula units.

Cell: 7.0934 7.0934 7.0934 Å, 145.88 137.48 55.61°
Last column: magnetic moment on the atom in μB.
Element x y z (fractional)
Ba 0.9907 0.9907 0.0000  0.04
Ba 0.2653 0.7653 0.5000  0.06
Ru 0.6634 0.1634 0.5000  -0.29
Cr 0.5806 0.5806 0.0000  2.92

---

# 10
This record from Alexandria describes BaCrRu2 after structural relaxation. The functional is PBE.

Its offset from the most stable computed form is 30 meV/atom. For the total energy, the calculation gives -28.332 eV/f.u. The formation energy is 170 kJ/mol of formula units.

Cell: 4.3280 4.3280 6.3994 Å, 70.24 70.24 60.00°
Last column: magnetic moment on the atom in μB.
Element x y z (fractional)
Ba 0.4992 0.4992 0.5022  0.04
Ru 0.6890 0.6890 0.9330  -0.44
Ru 0.0006 0.0006 0.9982  -0.50
Cr 0.3111 0.3111 0.0666  2.33

---

# 11
This record from Alexandria describes BaCrRu after structural relaxation. The functional is PBE.

Its offset from the most stable computed form is 1275 meV/atom. For the total energy, the calculation gives -15.379 eV/f.u. The formation energy is 525 kJ/mol of formula units.

Cell: 4.8615 4.8615 4.8615 Å, 60.00 60.00 60.00°
Last column: magnetic moment on the atom in μB.
Element x y z (fractional)
Ba 0.7500 0.7500 0.7500  0.12
Cr 0.0000 0.0000 0.0000  3.97
Ru 0.5000 0.5000 0.5000  -0.66

---

# 12
This record from Alexandria describes BaCrRu2 after structural relaxation. The functional is PBE.

Its offset from the most stable computed form is 788 meV/atom. For the total energy, the calculation gives -25.302 eV/f.u. The formation energy is 463 kJ/mol of formula units.

Cell: 3.1318 5.1607 4.7478 Å, 90.00 90.00 90.00°
Last column: magnetic moment on the atom in μB.
Element x y z (fractional)
Ru 0.5000 0.5000 0.0000  -0.66
Ru 0.0000 0.0000 0.0000  -0.07
Ba 0.5000 0.0000 0.5000  0.06
Cr 0.0000 0.5000 0.5000  3.42